[1]
Computed, not measured: a relaxed CuSb2As2 crystal at the GGA-PBE level of DFT.

Unit cell a=8.752 b=8.752 c=8.752 alpha=155.71 beta=155.71 gamma=34.61
Positions (direct):
Cu1 0.000 0.000 0.000
Sb1 0.410 0.410 0.000
Sb2 0.590 0.590 0.000
As1 0.250 0.750 0.500
As2 0.750 0.250 0.500

Output
The total magnetization is 0.00 Bohr magnetons per cell. The formation energy from raw total energies comes out at 344 meV per atom. For the density, the calculation gives 6696 kg/m3. The energy above the most stable polymorph in this dataset comes out at 0.000 eV per atom. The calculated volume comes out at 113 Å³ per cell.

[2]
Computed, not measured: a relaxed AcZrPd crystal at the GGA-PBE level of DFT.

Unit cell a=5.966 b=9.075 c=6.017 alpha=90.00 beta=90.00 gamma=90.00
Positions (direct):
Ac1 0.000 0.163 0.250
Ac2 0.000 0.837 0.750
Ac3 0.500 0.163 0.750
Ac4 0.500 0.837 0.250
Zr1 0.250 0.500 0.083
Zr2 0.250 0.500 0.583
Zr3 0.750 0.500 0.417
Zr4 0.750 0.500 0.917
Pd1 0.000 0.257 0.750
Pd2 0.000 0.743 0.250
Pd3 0.500 0.257 0.250
Pd4 0.500 0.743 0.750

Output
The total magnetization is 0.00 Bohr magnetons per cell. For the density, the calculation gives 8659 kg/m3. As for the formation energy: -0.42 eV per atom. The energy above the most stable polymorph in this dataset comes out at 0.000 eV per atom. The calculated volume comes out at 326 Å³ per cell.

[3]
Computed, not measured: a relaxed Zn3Cu2Au2 crystal at the GGA-PBE level of DFT.

Unit cell a=4.943 b=8.525 c=5.036 alpha=90.00 beta=93.57 gamma=90.00
Positions (direct):
Zn1 0.000 0.000 0.000
Zn2 0.000 0.500 0.500
Zn3 0.255 0.031 0.549
Zn4 0.255 0.469 0.049
Zn5 0.745 0.531 0.951
Zn6 0.745 0.969 0.451
Cu1 0.036 0.739 0.208
Cu2 0.036 0.761 0.708
Cu3 0.964 0.239 0.292
Cu4 0.964 0.261 0.792
Au1 0.471 0.164 0.093
Au2 0.471 0.336 0.593
Au3 0.529 0.664 0.407
Au4 0.529 0.836 0.907

Output
The total magnetization is 0.00 Bohr magnetons per cell. For the density, the calculation gives 11247 kg/m3. As for the formation energy: -0.08 eV per atom. The energy above the most stable polymorph in this dataset comes out at 0.015 eV per atom. The calculated volume comes out at 212 Å³ per cell.

[4]
Computed, not measured: a relaxed Ho6Zn2Pd crystal at the GGA-PBE level of DFT.

Unit cell a=8.399 b=8.399 c=8.399 alpha=110.98 beta=110.27 gamma=107.18
Positions (direct):
Ho1 0.042 0.218 0.824
Ho2 0.257 0.581 0.325
Ho3 0.257 0.932 0.675
Ho4 0.260 0.308 0.568
Ho5 0.260 0.692 0.951
Ho6 0.394 0.218 0.176
Ho7 0.606 0.782 0.824
Ho8 0.740 0.308 0.049
Ho9 0.740 0.692 0.432
Ho10 0.743 0.068 0.325
Ho11 0.743 0.419 0.675
Ho12 0.958 0.782 0.176
Zn1 0.000 0.137 0.137
Zn2 0.000 0.863 0.863
Zn3 0.373 0.000 0.373
Zn4 0.627 0.000 0.627
Pd1 0.000 0.500 0.500
Pd2 0.500 0.500 0.000

Output
The total magnetization is 0.00 Bohr magnetons per cell. For the density, the calculation gives 8945 kg/m3. As for the formation energy: -0.31 eV per atom. The energy above the most stable polymorph in this dataset comes out at 0.000 eV per atom. The calculated volume comes out at 456 Å³ per cell.

[5]
Computed, not measured: a relaxed Pm6TeSe5 crystal at the GGA-PBE level of DFT.

Unit cell a=7.354 b=7.354 c=7.359 alpha=99.63 beta=99.63 gamma=120.04
Positions (direct):
Pm1 0.065 0.412 0.733
Pm2 0.239 0.239 0.260
Pm3 0.412 0.065 0.733
Pm4 0.588 0.935 0.267
Pm5 0.761 0.761 0.740
Pm6 0.935 0.588 0.267
Te1 0.500 0.500 0.000
Se1 0.000 0.000 0.500
Se2 0.168 0.832 0.000
Se3 0.340 0.660 0.500
Se4 0.660 0.340 0.500
Se5 0.832 0.168 0.000

Output
The total magnetization is 0.00 Bohr magnetons per cell. The formation energy from raw total energies comes out at -1757 meV per atom. For the density, the calculation gives 7121 kg/m3. The calculated volume comes out at 325 Å³ per cell.

[6]
Computed, not measured: a relaxed La2H6RuRh crystal at the GGA-PBE level of DFT.

Unit cell a=5.353 b=5.353 c=5.353 alpha=119.85 beta=119.71 gamma=90.38
Positions (direct):
La1 0.250 0.250 0.000
La2 0.750 0.750 0.000
H1 0.255 0.755 0.500
H2 0.256 0.243 0.500
H3 0.256 0.757 0.013
H4 0.744 0.243 0.987
H5 0.744 0.757 0.500
H6 0.745 0.245 0.500
Ru1 0.500 0.000 0.500
Rh1 0.000 0.500 0.500

Output
The total magnetization is 0.00 Bohr magnetons per cell. For the density, the calculation gives 7446 kg/m3. The final energy comes out at -51.93 eV for the cell shown. The calculated volume comes out at 109 Å³ per cell.

- Number 3 is which compound?
  Zn3Cu2Au2